#one
VCuMo2 GGA-PBE relaxed; DOS(E_F) = 3.338 states/eV/f.u.
1.0
0.000 3.063 3.063
3.063 0.000 3.063
3.063 3.063 0.000
V Cu Mo
1 1 2
Direct
0.000 0.000 0.000
0.500 0.500 0.500
0.250 0.250 0.250
0.750 0.750 0.750

#two
VCuMo2 GGA-PBE relaxed; DOS(E_F) = 4.087 states/eV/f.u.
1.0
-3.428 3.428 2.616
3.428 -3.428 2.616
3.428 3.428 -2.616
V Cu Mo
2 2 4
Direct
0.000 0.000 0.000
0.750 0.250 0.500
0.250 0.750 0.500
0.500 0.500 0.000
0.124 0.625 0.999
0.375 0.374 0.499
0.626 0.125 0.001
0.875 0.876 0.501

What should be chosen as the least stable of them? Choose #two.

#one
VCu2Mo GGA-PBE relaxed; DOS(E_F) = 4.151 states/eV/f.u.
1.0
0.000 3.010 3.010
3.010 0.000 3.010
3.010 3.010 0.000
V Cu Mo
1 2 1
Direct
0.000 0.000 0.000
0.250 0.250 0.250
0.750 0.750 0.750
0.500 0.500 0.500

#two
VCu2Mo GGA-PBE relaxed; DOS(E_F) = 3.304 states/eV/f.u.
1.0
-3.441 3.441 2.406
3.441 -3.441 2.406
3.441 3.441 -2.406
V Cu Mo
2 4 2
Direct
0.000 0.000 0.000
0.750 0.250 0.500
0.114 0.625 0.989
0.375 0.364 0.489
0.636 0.125 0.011
0.875 0.886 0.511
0.250 0.750 0.500
0.500 0.500 0.000

What should be chosen as the least stable of them? Choose #two.